CeBePt6: optimized geometry, GGA-PBE.

The structure in POSCAR format:
```
CeBePt6
1.0
2.7871 1.6091 5.3481
-2.7871 1.6091 5.3481
0.0000 -3.2183 5.3481
Ce Be Pt
1 1 6
direct
0.0000 0.0000 0.0000
0.5000 0.5000 0.5000
0.0692 0.5904 0.5904
0.4096 0.4096 0.9308
0.4096 0.9308 0.4096
0.5904 0.0692 0.5904
0.5904 0.5904 0.0692
0.9308 0.4096 0.4096
```

Summary:
Its total energy is -49.58 eV for the cell shown. The calculation puts the formation energy at -0.46 eV per atom. The space group is R-3m (166).